[1]
! Pr6TlCo2, optimized geometry, DFT PBE; values from VASP
&SYSTEM
  ibrav = 0, nat = 18, ntyp = 3
/
ATOMIC_SPECIES
Pr 140.91 Pr.upf
Tl 204.38 Tl.upf
Co 58.93 Co.upf
ATOMIC_POSITIONS angstrom
Pr 4.855 3.014 -2.764
Pr 2.787 1.876 0.000
Pr 6.924 1.876 0.000
Pr 1.802 5.130 -1.823
Pr 3.053 0.000 3.349
Pr 0.000 2.116 2.408
Pr 4.855 3.014 2.764
Pr 1.802 5.130 1.823
Pr 3.053 0.000 6.995
Pr -2.068 3.254 5.172
Pr 2.068 3.254 5.172
Pr 0.000 2.116 7.936
Tl 0.000 0.000 0.000
Tl 0.000 0.000 5.172
Co 4.855 0.000 1.135
Co 0.000 3.527 0.000
Co 0.000 6.733 0.000
Co 0.000 5.130 4.037
CELL_PARAMETERS angstrom
-4.855 5.130 5.172
4.855 -5.130 5.172
4.855 5.130 -5.172
! Magnetization   0.0 μB per cell
! Space-group type   Immm (71)
! Calculated total energy   -92.88 eV per cell
! Relative energy among the computed polymorphs   0.000 eV/atom
! N(E_F)   15.85 states/eV/cell

***

[2]
! ZrSi2As, optimized geometry, DFT PBE; values from VASP
&SYSTEM
  ibrav = 0, nat = 8, ntyp = 3
/
ATOMIC_SPECIES
Zr 91.22 Zr.upf
Si 28.09 Si.upf
As 74.92 As.upf
ATOMIC_POSITIONS angstrom
Zr 0.000 0.000 0.000
Zr 0.000 3.662 1.368
Si 1.831 -1.689 2.052
Si 1.973 1.831 0.684
Si 1.831 5.352 -0.684
Si 1.689 1.831 3.420
As 3.662 0.000 1.368
As 0.000 0.000 2.736
CELL_PARAMETERS angstrom
-3.662 3.662 2.736
3.662 -3.662 2.736
3.662 3.662 -2.736
! Magnetization   0.0 μB per cell
! Space-group type   I-42d (122)
! Uncorrected formation energy   8 meV/atom
! Calculated total energy   -48.03 eV per cell
! Relative energy among the computed polymorphs   0.359 eV/atom
! N(E_F)   5.63 states/eV/cell

***

[3]
! Hg8Te, optimized geometry, DFT PBE; values from VASP
&SYSTEM
  ibrav = 0, nat = 9, ntyp = 2
/
ATOMIC_SPECIES
Hg 200.59 Hg.upf
Te 127.60 Te.upf
ATOMIC_POSITIONS angstrom
Hg 3.825 0.000 0.000
Hg 7.680 0.000 0.000
Hg 3.795 3.795 0.000
Hg 1.957 -1.957 1.889
Hg 0.000 3.825 0.000
Hg 0.000 7.680 0.000
Hg -1.957 1.957 1.889
Hg 1.957 1.957 1.889
Te 0.000 0.000 0.000
CELL_PARAMETERS angstrom
-5.753 5.753 1.889
5.753 -5.753 1.889
5.753 5.753 -1.889
! Magnetization   0.0 μB per cell
! Space-group type   I4/mmm (139)
! Uncorrected formation energy   39 meV/atom
! Calculated total energy   -5.20 eV per cell
! N(E_F)   1.63 states/eV/cell

***

[4]
! Ta6FeRu5, optimized geometry, DFT PBE; values from VASP
&SYSTEM
  ibrav = 0, nat = 12, ntyp = 3
/
ATOMIC_SPECIES
Ta 180.95 Ta.upf
Fe 55.84 Fe.upf
Ru 101.07 Ru.upf
ATOMIC_POSITIONS angstrom
Ta 2.222 1.533 -2.178
Ta 0.000 1.496 0.000
Ta 2.222 1.533 2.178
Ta 0.000 1.630 4.579
Ta 0.000 4.830 0.000
Ta 0.000 1.630 8.935
Fe 2.222 0.000 0.000
Ru 0.000 0.000 2.414
Ru 2.222 0.000 4.544
Ru 0.000 0.000 6.757
Ru 0.000 3.163 2.213
Ru 0.000 0.000 11.099
CELL_PARAMETERS angstrom
-2.222 3.163 6.757
2.222 -3.163 6.757
2.222 3.163 -6.757
! Magnetization   1.9 μB per cell
! Space-group type   Immm (71)
! Calculated total energy   -129.49 eV per cell
! N(E_F)   10.44 states/eV/cell

***

[5]
! Pm6Ga3Ir, optimized geometry, DFT PBE; values from VASP
&SYSTEM
  ibrav = 0, nat = 20, ntyp = 3
/
ATOMIC_SPECIES
Pm 145.00 Pm.upf
Ga 69.72 Ga.upf
Ir 192.22 Ir.upf
ATOMIC_POSITIONS angstrom
Pm -0.649 1.026 2.476
Pm 0.274 3.079 5.105
Pm -0.955 3.079 8.539
Pm 2.171 3.079 1.694
Pm -0.638 1.026 11.614
Pm 1.955 1.026 7.715
Pm 3.943 3.079 4.943
Pm 6.536 3.079 1.045
Pm 3.727 1.026 10.964
Pm 6.853 1.026 4.120
Pm 5.624 1.026 7.553
Pm 6.548 3.079 10.183
Ga -3.768 1.026 12.371
Ga -1.528 1.026 6.303
Ga 1.465 3.079 10.391
Ga 4.433 1.026 2.268
Ga 7.426 3.079 6.355
Ga 9.666 3.079 0.287
Ir 2.164 1.026 3.917
Ir 3.734 3.079 8.742
CELL_PARAMETERS angstrom
10.495 0.000 0.000
0.000 4.105 0.000
-4.597 0.000 12.658
! Magnetization   0.0 μB per cell
! Space-group type   P2_1/m (11)
! Calculated total energy   -101.89 eV per cell
! N(E_F)   18.76 states/eV/cell

***

[6]
! Pr5Sm2Tm12, optimized geometry, DFT PBE; values from VASP
&SYSTEM
  ibrav = 0, nat = 19, ntyp = 3
/
ATOMIC_SPECIES
Pr 140.91 Pr.upf
Sm 150.36 Sm.upf
Tm 168.93 Tm.upf
ATOMIC_POSITIONS angstrom
Pr 0.000 0.000 0.000
Pr -2.027 7.132 5.808
Pr -0.006 2.130 10.438
Pr 1.048 6.068 0.589
Pr 3.069 1.066 5.218
Sm -1.013 3.919 4.631
Sm 2.055 4.278 6.396
Tm -1.024 3.210 1.170
Tm -2.031 6.417 2.330
Tm -0.005 0.714 3.464
Tm -0.018 1.414 6.976
Tm -1.022 4.632 8.133
Tm -2.038 7.843 9.270
Tm 3.081 0.355 1.756
Tm 2.065 3.566 2.894
Tm 1.060 6.783 4.051
Tm 1.047 7.483 7.562
Tm 3.073 1.781 8.696
Tm 2.067 4.987 9.856
CELL_PARAMETERS angstrom
6.160 0.000 0.000
-3.041 8.925 0.000
-2.077 -0.727 11.026
! Magnetization   0.0 μB per cell
! Space-group type   P-1 (2)
! Calculated total energy   -86.51 eV per cell
! Relative energy among the computed polymorphs   0.000 eV/atom
! N(E_F)   26.46 states/eV/cell

***

[7]
! PuVBr, optimized geometry, DFT PBE; values from VASP
&SYSTEM
  ibrav = 0, nat = 6, ntyp = 3
/
ATOMIC_SPECIES
Pu 244.00 Pu.upf
V 50.94 V.upf
Br 79.90 Br.upf
ATOMIC_POSITIONS angstrom
Pu 2.186 0.000 0.000
Pu 12.040 0.000 0.000
V 0.000 0.000 3.980
V 7.113 0.000 1.846
Br 5.358 0.000 5.669
Br 8.868 0.000 5.669
CELL_PARAMETERS angstrom
14.226 0.000 0.000
0.000 1.625 2.859
0.000 -1.625 2.859
! Magnetization   9.1 μB per cell
! Space-group type   Amm2 (38)
! Uncorrected formation energy   110 meV/atom
! Calculated total energy   -49.58 eV per cell
! N(E_F)   16.26 states/eV/cell

***

[8]
! La4AgRh2, optimized geometry, DFT PBE; values from VASP
&SYSTEM
  ibrav = 0, nat = 14, ntyp = 3
/
ATOMIC_SPECIES
La 138.91 La.upf
Ag 107.87 Ag.upf
Rh 102.91 Rh.upf
ATOMIC_POSITIONS angstrom
La 2.204 7.190 2.943
La 0.866 3.179 1.969
La 4.368 4.088 1.017
La 0.754 1.004 5.062
La -1.330 -3.179 4.912
La 2.950 -1.004 2.119
La 2.172 -4.088 3.961
La 4.400 -7.190 0.000
Ag 3.713 1.785 3.013
Ag 5.909 -1.785 0.070
Rh 0.365 5.070 4.222
Rh 2.576 1.397 0.187
Rh 0.380 -1.397 3.130
Rh 2.561 -5.070 1.279
CELL_PARAMETERS angstrom
4.400 -7.444 0.000
4.400 7.444 0.000
-4.392 0.000 5.887
! Magnetization   0.0 μB per cell
! Space-group type   Cc (9)
! Calculated total energy   -82.08 eV per cell
! Relative energy among the computed polymorphs   0.000 eV/atom
! N(E_F)   11.85 states/eV/cell

***

[9]
! MnMoAs, optimized geometry, DFT PBE; values from VASP
&SYSTEM
  ibrav = 0, nat = 3, ntyp = 3
/
ATOMIC_SPECIES
Mn 54.94 Mn.upf
Mo 95.94 Mo.upf
As 74.92 As.upf
ATOMIC_POSITIONS angstrom
Mn 0.000 0.000 0.000
Mo 0.000 0.000 4.978
As 0.000 0.000 2.471
CELL_PARAMETERS angstrom
-1.446 1.956 3.724
1.446 -1.956 3.724
1.446 1.956 -3.724
! Magnetization   0.0 μB per cell
! Space-group type   Imm2 (44)
! Calculated total energy   -24.14 eV per cell
! N(E_F)   2.24 states/eV/cell

***

[10]
! ErMnCuNi, optimized geometry, DFT PBE; values from VASP
&SYSTEM
  ibrav = 0, nat = 4, ntyp = 4
/
ATOMIC_SPECIES
Er 167.26 Er.upf
Mn 54.94 Mn.upf
Cu 63.55 Cu.upf
Ni 58.69 Ni.upf
ATOMIC_POSITIONS angstrom
Er 0.000 0.000 0.000
Mn 3.184 3.184 3.184
Cu 4.776 4.776 4.776
Ni 1.592 1.592 1.592
CELL_PARAMETERS angstrom
0.000 3.184 3.184
3.184 0.000 3.184
3.184 3.184 0.000
! Magnetization   4.1 μB per cell
! Space-group type   F-43m (216)
! Calculated total energy   -23.98 eV per cell
! N(E_F)   2.07 states/eV/cell

***

[11]
! Pr5Y2Er6, optimized geometry, DFT PBE; values from VASP
&SYSTEM
  ibrav = 0, nat = 26, ntyp = 3
/
ATOMIC_SPECIES
Pr 140.91 Pr.upf
Y 88.91 Y.upf
Er 167.26 Er.upf
ATOMIC_POSITIONS angstrom
Pr 0.000 0.000 0.000
Pr 1.037 5.652 0.000
Pr 2.339 11.331 0.000
Pr 3.519 1.043 0.000
Pr 4.822 15.940 0.000
Pr 5.859 10.288 0.000
Pr 6.896 4.636 0.000
Pr 8.198 19.532 0.000
Pr 9.378 9.244 0.000
Pr 10.681 14.924 0.000
Y 1.980 14.665 1.803
Y 3.879 4.377 1.803
Y 7.838 16.198 1.803
Y 9.738 5.911 1.803
Er 0.717 8.637 1.803
Er 0.925 2.740 1.803
Er 2.065 17.795 0.000
Er 3.794 7.507 0.000
Er 4.934 13.028 1.803
Er 5.142 18.924 1.803
Er 6.576 1.651 1.803
Er 6.784 7.548 1.803
Er 7.923 13.069 0.000
Er 9.653 2.781 0.000
Er 10.793 17.836 1.803
Er 11.001 11.939 1.803
CELL_PARAMETERS angstrom
11.718 0.000 0.000
0.000 20.576 0.000
0.000 0.000 3.605
! Magnetization   0.0 μB per cell
! Space-group type   Pbam (55)
! Calculated total energy   -125.95 eV per cell
! N(E_F)   33.84 states/eV/cell

***

[12]
! NaSc2Cd2, optimized geometry, DFT PBE; values from VASP
&SYSTEM
  ibrav = 0, nat = 10, ntyp = 3
/
ATOMIC_SPECIES
Na 22.99 Na.upf
Sc 44.96 Sc.upf
Cd 112.41 Cd.upf
ATOMIC_POSITIONS angstrom
Na 0.000 0.000 0.000
Na 4.226 4.226 0.000
Sc 1.258 2.968 1.730
Sc 2.968 7.194 1.730
Sc 5.483 1.258 1.730
Sc 7.194 5.483 1.730
Cd 1.231 5.457 0.000
Cd 2.995 1.231 0.000
Cd 5.457 7.220 0.000
Cd 7.220 2.995 0.000
CELL_PARAMETERS angstrom
8.451 0.000 0.000
0.000 8.451 0.000
0.000 0.000 3.461
! Magnetization   0.0 μB per cell
! Space-group type   P4/mbm (127)
! Calculated total energy   -32.12 eV per cell
! Relative energy among the computed polymorphs   0.000 eV/atom
! N(E_F)   9.65 states/eV/cell

***

[13]
! Sm2UTl3S6, optimized geometry, DFT PBE; values from VASP
&SYSTEM
  ibrav = 0, nat = 12, ntyp = 4
/
ATOMIC_SPECIES
Sm 150.36 Sm.upf
U 238.03 U.upf
Tl 204.38 Tl.upf
S 32.06 S.upf
ATOMIC_POSITIONS angstrom
Sm 3.552 4.101 0.000
Sm 3.552 -4.101 0.000
U 3.552 0.000 0.000
Tl -1.184 0.000 3.770
Tl 2.368 2.067 3.770
Tl 2.368 -2.067 3.770
S 0.024 2.009 6.039
S 1.231 0.000 1.514
S 0.024 -2.009 6.039
S 4.713 2.009 1.501
S 3.506 0.000 6.026
S 4.713 -2.009 1.501
CELL_PARAMETERS angstrom
3.552 -6.149 0.000
3.552 6.149 0.000
-2.368 0.000 7.540
! Magnetization   3.0 μB per cell
! Space-group type   C2/m (12)
! Uncorrected formation energy   -1298 meV/atom
! Calculated total energy   -68.16 eV per cell
! N(E_F)   9.57 states/eV/cell

***

[14]
! Mg5Tl2In, optimized geometry, DFT PBE; values from VASP
&SYSTEM
  ibrav = 0, nat = 8, ntyp = 3
/
ATOMIC_SPECIES
Mg 24.30 Mg.upf
Tl 204.38 Tl.upf
In 114.82 In.upf
ATOMIC_POSITIONS angstrom
Mg 0.000 0.000 0.000
Mg 2.318 0.000 2.165
Mg 2.318 0.000 6.738
Mg 0.000 2.318 2.165
Mg 0.000 2.318 6.738
Tl 0.000 0.000 4.386
Tl 0.000 0.000 13.420
In 0.000 0.000 8.903
CELL_PARAMETERS angstrom
-2.318 2.318 8.903
2.318 -2.318 8.903
2.318 2.318 -8.903
! Magnetization   0.0 μB per cell
! Space-group type   I4/mmm (139)
! Calculated total energy   -15.75 eV per cell
! Relative energy among the computed polymorphs   0.000 eV/atom
! N(E_F)   2.69 states/eV/cell

***

[15]
! Sr2Cu15Rh2, optimized geometry, DFT PBE; values from VASP
&SYSTEM
  ibrav = 0, nat = 19, ntyp = 3
/
ATOMIC_SPECIES
Sr 87.62 Sr.upf
Cu 63.55 Cu.upf
Rh 102.91 Rh.upf
ATOMIC_POSITIONS angstrom
Sr 0.000 0.000 2.000
Sr 0.000 0.000 10.666
Cu -2.186 -1.262 4.222
Cu 0.000 -2.489 4.062
Cu -2.156 1.245 4.062
Cu -1.257 -2.178 6.333
Cu -2.515 0.000 6.333
Cu -2.156 -1.245 8.603
Cu -2.186 1.262 8.444
Cu 1.257 -2.178 6.333
Cu 0.000 2.525 4.222
Cu -1.257 2.178 6.333
Cu 2.156 1.245 4.062
Cu 2.514 0.000 6.333
Cu 1.257 2.178 6.333
Cu 2.156 -1.245 8.603
Cu 0.000 2.489 8.603
Rh 0.000 0.000 5.051
Rh 0.000 0.000 7.615
CELL_PARAMETERS angstrom
4.373 2.525 4.222
-4.373 2.525 4.222
0.000 -5.049 4.222
! Magnetization   0.0 μB per cell
! Space-group type   R-3m (166)
! Calculated total energy   -80.46 eV per cell
! N(E_F)   6.56 states/eV/cell

***

[16]
! Rb2NaSeBr6, optimized geometry, DFT PBE; values from VASP
&SYSTEM
  ibrav = 0, nat = 10, ntyp = 4
/
ATOMIC_SPECIES
Rb 85.47 Rb.upf
Na 22.99 Na.upf
Se 78.96 Se.upf
Br 79.90 Br.upf
ATOMIC_POSITIONS angstrom
Rb 4.004 0.000 2.767
Rb 0.000 4.004 2.767
Na 0.000 0.000 0.000
Se 0.000 0.000 5.533
Br 2.036 2.036 0.000
Br 1.968 -1.968 5.533
Br 0.000 0.000 2.948
Br 0.000 0.000 8.119
Br -1.968 1.968 5.533
Br 1.968 1.968 5.533
CELL_PARAMETERS angstrom
-4.004 4.004 5.533
4.004 -4.004 5.533
4.004 4.004 -5.533
! Magnetization   0.9 μB per cell
! Space-group type   I4/mmm (139)
! Uncorrected formation energy   -961 meV/atom
! Calculated total energy   -26.38 eV per cell
! Relative energy among the computed polymorphs   0.003 eV/atom
! N(E_F)   2.62 states/eV/cell

***

[17]
! CdWAu2C, optimized geometry, DFT PBE; values from VASP
&SYSTEM
  ibrav = 0, nat = 5, ntyp = 4
/
ATOMIC_SPECIES
Cd 112.41 Cd.upf
W 183.84 W.upf
Au 196.97 Au.upf
C 12.01 C.upf
ATOMIC_POSITIONS angstrom
Cd 0.000 0.000 0.000
W 0.000 0.000 2.575
Au 0.000 2.478 0.000
Au 2.478 0.000 0.000
C 2.478 2.478 2.575
CELL_PARAMETERS angstrom
4.957 0.000 0.000
0.000 4.957 0.000
0.000 0.000 5.151
! Magnetization   0.0 μB per cell
! Space-group type   P4/mmm (123)
! Calculated total energy   -14.19 eV per cell
! N(E_F)   8.35 states/eV/cell

***

[18]
! TeOsCl2, optimized geometry, DFT PBE; values from VASP
&SYSTEM
  ibrav = 0, nat = 4, ntyp = 3
/
ATOMIC_SPECIES
Te 127.60 Te.upf
Os 190.23 Os.upf
Cl 35.45 Cl.upf
ATOMIC_POSITIONS angstrom
Te 0.000 0.000 0.000
Os 0.000 0.000 17.817
Cl 0.000 0.000 15.610
Cl 0.000 0.000 20.024
CELL_PARAMETERS angstrom
1.510 0.872 11.878
-1.510 0.872 11.878
0.000 -1.743 11.878
! Magnetization   0.0 μB per cell
! Space-group type   R-3m (166)
! Uncorrected formation energy   306 meV/atom
! Calculated total energy   -16.84 eV per cell
! Relative energy among the computed polymorphs   0.351 eV/atom
! N(E_F)   2.80 states/eV/cell

***

[19]
! PmPrSm, optimized geometry, DFT PBE; values from VASP
&SYSTEM
  ibrav = 0, nat = 6, ntyp = 3
/
ATOMIC_SPECIES
Pm 145.00 Pm.upf
Pr 140.91 Pr.upf
Sm 150.36 Sm.upf
ATOMIC_POSITIONS angstrom
Pm 0.000 2.083 0.000
Pm 1.804 1.041 9.384
Pr 0.000 2.083 3.512
Pr 1.804 1.041 12.896
Sm 0.000 0.000 6.481
Sm 0.000 0.000 15.864
CELL_PARAMETERS angstrom
3.607 0.000 0.000
-1.804 3.124 0.000
0.000 0.000 18.768
! Magnetization   0.0 μB per cell
! Space-group type   P6_3mc (186)
! Calculated total energy   -27.97 eV per cell
! Relative energy among the computed polymorphs   0.076 eV/atom
! N(E_F)   9.55 states/eV/cell

***

[20]
! DyMgAg6, optimized geometry, DFT PBE; values from VASP
&SYSTEM
  ibrav = 0, nat = 8, ntyp = 3
/
ATOMIC_SPECIES
Dy 162.50 Dy.upf
Mg 24.30 Mg.upf
Ag 107.87 Ag.upf
ATOMIC_POSITIONS angstrom
Dy 0.000 0.000 0.000
Mg 0.000 0.000 4.119
Ag 0.000 2.178 2.165
Ag 0.000 2.178 6.074
Ag 2.178 0.000 2.165
Ag 2.178 0.000 6.074
Ag 2.178 2.178 0.000
Ag 2.178 2.178 4.119
CELL_PARAMETERS angstrom
4.355 0.000 0.000
0.000 4.355 0.000
0.000 0.000 8.239
! Magnetization   0.0 μB per cell
! Space-group type   P4/mmm (123)
! Calculated total energy   -24.22 eV per cell
! Relative energy among the computed polymorphs   0.065 eV/atom
! N(E_F)   4.12 states/eV/cell

***

[21]
! LaZr2BeN4, optimized geometry, DFT PBE; values from VASP
&SYSTEM
  ibrav = 0, nat = 16, ntyp = 4
/
ATOMIC_SPECIES
La 138.91 La.upf
Zr 91.22 Zr.upf
Be 9.01 Be.upf
N 14.01 N.upf
ATOMIC_POSITIONS angstrom
La 1.646 4.391 8.188
La 1.646 -4.391 2.729
Zr 1.646 1.448 6.018
Zr 1.646 1.448 10.359
Zr 1.646 -1.448 0.559
Zr 1.646 -1.448 4.900
Be 1.646 3.564 2.729
Be 1.646 -3.564 8.188
N 0.000 0.000 0.000
N 0.000 0.000 5.459
N 1.646 2.585 1.318
N 1.646 2.585 4.141
N 1.646 0.940 8.188
N 1.646 -0.940 2.729
N 1.646 -2.585 6.776
N 1.646 -2.585 9.600
CELL_PARAMETERS angstrom
1.646 -5.499 0.000
1.646 5.499 0.000
0.000 0.000 10.918
! Magnetization   0.0 μB per cell
! Space-group type   Cmcm (63)
! Uncorrected formation energy   -1523 meV/atom
! Calculated total energy   -142.48 eV per cell
! N(E_F)   3.38 states/eV/cell